1.
DFT (PBE-GGA) results for a relaxed La6PrSmHo2 crystal.

Unit cell a=8.9780 b=7.2581 c=6.7389 alpha=122.58 beta=100.99 gamma=90.00
Closest atoms and distances in Å follow each position.
Element x y z (fractional)
La 0.4384 0.6396 0.2792  5 La 3.59-3.77, 1 Pr 3.90, 1 Sm 4.00
La 0.1992 0.0439 0.6443  2 La 3.22-3.60, 2 Ho 3.26-3.55, 1 Sm 3.39, 1 Pr 3.60
La 0.8008 0.3996 0.3557  2 La 3.22-3.60, 2 Ho 3.26-3.55, 1 Sm 3.39, 1 Pr 3.60
La 0.1992 0.6004 0.6443  2 La 3.22-3.60, 2 Ho 3.26-3.55, 1 Sm 3.39, 1 Pr 3.60
La 0.8008 0.9561 0.3557  2 La 3.22-3.60, 2 Ho 3.26-3.55, 1 Sm 3.39, 1 Pr 3.60
La 0.5616 0.3604 0.7208  5 La 3.59-3.77, 1 Pr 3.90, 1 Sm 4.00
Pr 0.0000 0.5000 0.0000  10 La 3.60-4.03, 4 Ho 3.96
Sm 0.5000 0.0000 0.0000  4 La 3.39, 2 Ho 3.44
Ho 0.1610 0.0924 0.1847  1 Ho 3.16, 2 La 3.26, 1 Sm 3.44
Ho 0.8390 0.9076 0.8153  1 Ho 3.16, 2 La 3.26, 1 Sm 3.44

Values from the calculation:
formation enthalpy at 0 K: 0.186 eV per atom
theoretical density: 6.70 Mg/m³
final energy: -4.636 eV per atom

***

2.
DFT (PBE-GGA) results for a relaxed Li3Ni3Rh crystal.

Unit cell a=4.8963 b=4.8963 c=4.8963 alpha=109.05 beta=109.05 gamma=109.05
Closest atoms and distances in Å follow each position.
Element x y z (fractional)
Li 0.4584 0.4584 0.8729  5 Ni 2.35-2.61
Li 0.8729 0.4584 0.4584  5 Ni 2.35-2.61
Li 0.4584 0.8729 0.4584  5 Ni 2.35-2.61
Ni 0.9635 0.4665 0.9635  5 Li 2.35-2.61, 2 Rh 2.38-2.54
Ni 0.9635 0.9635 0.4665  5 Li 2.35-2.61, 2 Rh 2.38-2.54
Ni 0.4665 0.9635 0.9635  5 Li 2.35-2.61, 2 Rh 2.38-2.54
Rh 0.0175 0.0175 0.0175  6 Ni 2.38-2.54

Values from the calculation:
formation enthalpy at 0 K: 0.121 eV per atom
theoretical density: 5.43 Mg/m³
final energy: -4.227 eV per atom

***

3.
DFT (PBE-GGA) results for a relaxed Mg2ZrTl2 crystal.

Unit cell a=4.8768 b=4.8768 c=12.5869 alpha=90.00 beta=90.00 gamma=120.00
Closest atoms and distances in Å follow each position.
Element x y z (fractional)
Mg 0.6667 0.3333 0.7500  3 Zr 2.82
Mg 0.0000 0.0000 0.0000  2 Zr 3.15, 6 Tl 3.20
Mg 0.0000 0.0000 0.5000  2 Zr 3.15, 6 Tl 3.20
Mg 0.3333 0.6667 0.2500  3 Zr 2.82
Zr 0.0000 0.0000 0.2500  5 Mg 2.82-3.15
Zr 0.0000 0.0000 0.7500  5 Mg 2.82-3.15
Tl 0.3333 0.6667 0.6213  6 Mg 3.20-3.25, 1 Tl 3.24, 3 Zr 3.25
Tl 0.6667 0.3333 0.1213  6 Mg 3.20-3.25, 1 Tl 3.24, 3 Zr 3.25
Tl 0.6667 0.3333 0.3787  6 Mg 3.20-3.25, 1 Tl 3.24, 3 Zr 3.25
Tl 0.3333 0.6667 0.8787  6 Mg 3.20-3.25, 1 Tl 3.24, 3 Zr 3.25

Values from the calculation:
formation enthalpy at 0 K: 0.279 eV per atom
theoretical density: 7.03 Mg/m³
final energy: -3.015 eV per atom

***

4.
DFT (PBE-GGA) results for a relaxed Y3AlN4 crystal.

Unit cell a=5.2035 b=6.5175 c=7.4877 alpha=90.00 beta=90.00 gamma=90.00
Closest atoms and distances in Å follow each position.
Element x y z (fractional)
Y 0.5354 0.8552 0.0000  4 N 2.19-2.35
Y 0.0349 0.6714 0.2484  4 N 2.19-2.34
Y 0.5349 0.3286 0.2516  4 N 2.19-2.34
Y 0.0354 0.1448 0.5000  4 N 2.19-2.35
Y 0.5349 0.3286 0.7484  4 N 2.19-2.34
Y 0.0349 0.6714 0.7516  4 N 2.19-2.34
Al 0.0086 0.1747 0.0000  4 N 1.90-1.98
Al 0.5086 0.8253 0.5000  4 N 1.90-1.98
N 0.0845 0.8782 0.0000  1 Al 1.97
N 0.6428 0.1805 0.0000  1 Al 1.90
N 0.0871 0.3169 0.2269  1 Al 1.98
N 0.5871 0.6831 0.2731  1 Al 1.98
N 0.1428 0.8195 0.5000  1 Al 1.90
N 0.5845 0.1218 0.5000  1 Al 1.97
N 0.5871 0.6831 0.7269  1 Al 1.98
N 0.0871 0.3169 0.7731  1 Al 1.98

Values from the calculation:
theoretical density: 4.57 Mg/m³
energy relative to the elements, uncorrected: -32.90 kcal/mol of atoms
final energy: -8.481 eV per atom

***

5.
DFT (PBE-GGA) results for a relaxed RbPm2Se3 crystal.

Unit cell a=4.1208 b=7.4745 c=12.8082 alpha=90.00 beta=90.00 gamma=90.00
Closest atoms and distances in Å follow each position.
Element x y z (fractional)
Rb 0.0000 0.0173 0.8854  6 Se 3.51-3.77
Rb 0.0000 0.5173 0.1146  6 Se 3.51-3.77
Pm 0.0000 0.0149 0.2376  5 Se 2.85-2.96
Pm 0.5000 0.0098 0.5064  6 Se 2.97-3.07
Pm 0.0000 0.5149 0.7624  5 Se 2.85-2.96
Pm 0.5000 0.5098 0.4936  6 Se 2.97-3.07
Se 0.5000 0.1384 0.0994  2 Pm 2.87
Se 0.5000 0.2633 0.6852  4 Pm 2.96-3.07
Se 0.0000 0.2576 0.4089  5 Pm 2.85-3.04
Se 0.5000 0.6384 0.9006  2 Pm 2.87
Se 0.5000 0.7633 0.3148  4 Pm 2.96-3.07
Se 0.0000 0.7576 0.5911  5 Pm 2.85-3.04

Values from the calculation:
theoretical density: 5.15 Mg/m³
energy relative to the elements, uncorrected: -37.28 kcal/mol of atoms
final energy: -5.104 eV per atom

***

6.
DFT (PBE-GGA) results for a relaxed SrHoZn2Au2 crystal.

Unit cell a=4.5891 b=4.5891 c=7.6541 alpha=90.00 beta=90.00 gamma=120.00
Closest atoms and distances in Å follow each position.
Element x y z (fractional)
Sr 0.0000 0.0000 0.0000  6 Zn 3.45, 6 Au 3.47, 2 Ho 3.83
Ho 0.0000 0.0000 0.5000  6 Au 3.09, 6 Zn 3.11
Zn 0.6667 0.3333 0.2884  3 Au 2.65
Zn 0.3333 0.6667 0.7116  3 Au 2.65
Au 0.6667 0.3333 0.7077  3 Zn 2.65
Au 0.3333 0.6667 0.2923  3 Zn 2.65

Values from the calculation:
formation enthalpy at 0 K: -0.642 eV per atom
theoretical density: 9.25 Mg/m³
final energy: -3.202 eV per atom

***

What is the formula in the fifth record? RbPm2Se3